The following is a DFT calculation (SCAN) of a crystal of KLiIn2 relaxed with PBEsol.

Summary:
Space-group type: Fm-3m (225)
Polymorph energy (0 for the lowest one) in eV/atom: 0.1914
ΔE_f in eV per atom: -0.043

Lattice parameters (Å, degrees): 5.349 5.349 5.349 60.00 60.00 60.00
Positions (direct):
In 0.750 0.750 0.750
In 0.250 0.250 0.250
K 0.000 0.000 0.000
Li 0.500 0.500 0.500

The following is a DFT calculation (SCAN) of a crystal of KLiIn relaxed with PBEsol.

Summary:
Space-group type: F-43m (216)
Polymorph energy (0 for the lowest one) in eV/atom: 0.2757
ΔE_f in eV per atom: 0.138

Lattice parameters (Å, degrees): 5.254 5.254 5.254 60.00 60.00 60.00
Positions (direct):
K 0.500 0.500 0.500
Li 0.250 0.250 0.250
In 0.000 0.000 0.000

The following is a DFT calculation (SCAN) of a crystal of KLiIn2 relaxed with PBEsol.

Summary:
Space-group type: P4mm (99)
Polymorph energy (0 for the lowest one) in eV/atom: 0.0904
ΔE_f in eV per atom: -0.144

Lattice parameters (Å, degrees): 3.737 3.737 8.237 90.00 90.00 90.00
Positions (direct):
Li 0.500 0.500 0.833
K 0.000 0.000 0.491
In 0.500 0.500 0.195
In 0.000 0.000 0.981

The following is a DFT calculation (SCAN) of a crystal of KLiIn relaxed with PBEsol.

Summary:
Space-group type: I4mm (107)
Polymorph energy (0 for the lowest one) in eV/atom: 0.0000
ΔE_f in eV per atom: -0.138

Lattice parameters (Å, degrees): 3.801 3.801 6.874 106.05 106.05 90.00
Positions (direct):
Li 0.384 0.384 0.768
K 0.660 0.660 0.321
In 0.955 0.955 0.911

The following is a DFT calculation (SCAN) of a crystal of K2LiInMo3O12 relaxed with PBEsol.

Summary:
Space-group type: P2_1 (4)
Raw formation energy in kJ per mole of atoms: -213.4

Lattice parameters (Å, degrees): 7.014 9.223 10.089 90.00 107.09 90.00
Positions (direct):
O 0.641 0.903 0.139
O 0.172 0.781 0.607
O 0.788 0.651 0.472
O 0.834 0.840 0.749
O 0.378 0.752 0.898
O 0.212 0.151 0.528
O 0.172 0.460 0.556
O 0.469 0.627 0.174
O 0.783 0.375 0.904
O 0.166 0.340 0.251
O 0.011 0.562 0.795
O 0.177 0.192 0.013
O 0.434 0.103 0.293
O 0.566 0.603 0.707
O 0.989 0.062 0.205
O 0.022 0.750 0.310
O 0.217 0.875 0.096
O 0.359 0.403 0.861
O 0.828 0.281 0.393
O 0.828 0.960 0.444
O 0.531 0.127 0.826
O 0.823 0.692 0.987
O 0.622 0.252 0.102
O 0.978 0.250 0.690
Mo 0.572 0.286 0.921
Mo 0.195 0.169 0.188
Mo 0.805 0.669 0.812
Mo 0.428 0.786 0.079
Mo 0.048 0.286 0.541
Mo 0.952 0.786 0.459
Li 0.050 0.352 0.870
Li 0.950 0.852 0.130
K 0.450 0.510 0.417
K 0.839 0.503 0.204
K 0.550 0.010 0.583
K 0.161 0.003 0.796
In 0.721 0.096 0.263
In 0.279 0.596 0.737

The following is a DFT calculation (SCAN) of a crystal of KMg2In2 relaxed with PBEsol.

Summary:
Space-group type: I4/mmm (139)
Polymorph energy (0 for the lowest one) in eV/atom: 0.0101
ΔE_f in eV per atom: -0.150

Lattice parameters (Å, degrees): 4.807 4.807 7.182 109.55 109.55 90.00
Positions (direct):
Mg 0.250 0.750 0.500
Mg 0.750 0.250 0.500
In 0.387 0.387 0.775
In 0.613 0.613 0.225
K 0.000 0.000 0.000

The following is a DFT calculation (SCAN) of a crystal of K2MgIn relaxed with PBEsol.

Summary:
Space-group type: Pm (6)
ΔE_f in eV per atom: 0.024

Lattice parameters (Å, degrees): 4.276 5.306 7.352 90.00 106.96 90.00
Each line ends with the local moment (μB).
Positions (direct):
K 0.710 0.500 0.296  0.00
K 0.036 0.000 0.946  0.00
Mg 0.332 0.000 0.540  0.00
In 0.422 0.500 0.718  0.06

The following is a DFT calculation (SCAN) of a crystal of K2MgIn relaxed with PBEsol.

Summary:
Space-group type: Imm2 (44)
ΔE_f in eV per atom: -0.010

Lattice parameters (Å, degrees): 4.577 6.161 6.709 117.34 109.95 90.00
Positions (direct):
K 0.769 0.269 0.539
K 0.973 0.973 0.945
In 0.207 0.707 0.415
Mg 0.551 0.551 0.102

The following is a DFT calculation (SCAN) of a crystal of K2MgIn relaxed with PBEsol.

Summary:
Space-group type: Cm (8)
ΔE_f in eV per atom: -0.046

Lattice parameters (Å, degrees): 5.225 5.228 7.407 110.60 90.24 119.66
Positions (direct):
Mg 0.541 0.082 0.623
In 0.208 0.416 0.624
K 0.979 0.956 0.935
K 0.772 0.546 0.318

The following is a DFT calculation (SCAN) of a crystal of K2MgIn relaxed with PBEsol.

Summary:
Space-group type: F-43m (216)
ΔE_f in eV per atom: 0.012

Lattice parameters (Å, degrees): 5.732 5.732 5.732 60.00 60.00 60.00
Each line ends with the local moment (μB).
Positions (direct):
In 0.250 0.250 0.250  -0.10
K 0.000 0.000 0.000  -0.01
K 0.750 0.750 0.750  -0.01
Mg 0.500 0.500 0.500  -0.01

The following is a DFT calculation (SCAN) of a crystal of KMg2In2 relaxed with PBEsol.

Summary:
Space-group type: P4/mbm (127)
Polymorph energy (0 for the lowest one) in eV/atom: 0.0000
ΔE_f in eV per atom: -0.160

Lattice parameters (Å, degrees): 3.162 9.190 9.190 90.00 90.00 90.00
Positions (direct):
In 0.000 0.654 0.154
In 0.000 0.154 0.346
In 0.000 0.346 0.846
In 0.000 0.846 0.654
K 0.000 0.000 0.000
K 0.000 0.500 0.500
Mg 0.500 0.363 0.137
Mg 0.500 0.137 0.637
Mg 0.500 0.863 0.363
Mg 0.500 0.637 0.863

The following is a DFT calculation (SCAN) of a crystal of K4MgIn relaxed with PBEsol.

Summary:
Space-group type: F-43m (216)
ΔE_f in eV per atom: 0.330

Lattice parameters (Å, degrees): 7.239 7.239 7.239 60.00 60.00 60.00
Positions (direct):
K 0.375 0.876 0.375
K 0.375 0.375 0.876
K 0.375 0.375 0.375
K 0.876 0.375 0.375
Mg 0.750 0.750 0.750
In 0.000 0.000 0.000

Calculated raw total energy, -19.416; -14.564; -19.517; -14.839; -14.415; -17.159; -13.730; -13.765; -13.800; -13.742; -17.169; -11.616 eV/atom (same order as the records).
Calculated ρ, 4.23; 2.61; 3.98; 2.92; 3.62; 3.60; 2.26; 2.33; 2.25; 2.71; 3.95; 1.83 Mg/m³ (same order as the records).